## Ti3TcMo (PBE)

Data for a relaxed structure of Ti3TcMo.

ρ in g/cm3: 7.05
Total magnetization in Bohr magnetons per cell: 0.000
Energy above the most stable polymorph in this dataset in kJ/mol of formula units: 0

The structure in POSCAR format:
```
Ti3TcMo
1.0
-0.619 -3.739 2.440
4.414 -0.870 -0.213
1.444 6.025 5.316
Ti Mo Tc
6 2 2
direct
0.763 0.344 0.808
0.073 0.844 0.426
0.574 0.344 0.429
0.262 0.844 0.807
0.451 0.844 0.185
0.952 0.344 0.189
0.867 0.844 0.016
0.159 0.344 0.598
0.664 0.844 0.607
0.362 0.344 0.007
```